A crystal of As2S3 relaxed with PBEsol, computed with meta-GGA SCAN.

Calculated values
DFT total energy (Ry per atom): -1.031
E_form (uncorrected) (eV/atom): -0.168

Structure (CIF):
```
data_As2S3
_cell_length_a 5.819
_cell_length_b 8.484
_cell_length_c 9.979
_cell_angle_alpha 79.74
_cell_angle_beta 79.92
_cell_angle_gamma 89.65
_space_group_name_H-M_alt 'P -1'
_space_group_IT_number 2
_space_group_name_Hall '-P 1'
loop_
_atom_site_label
_atom_site_type_symbol
_atom_site_fract_x
_atom_site_fract_y
_atom_site_fract_z
As1 As 0.053 0.135 0.339
As2 As 0.155 0.816 0.163
As3 As 0.404 0.366 0.671
As4 As 0.410 0.690 0.833
S1 S 0.062 0.080 0.122
S2 S 0.065 0.273 0.623
S3 S 0.230 0.383 0.259
S4 S 0.284 0.428 0.887
S5 S 0.314 0.767 0.619
S6 S 0.471 0.883 0.248
```